# PBE-GGA Th4FeNiSe2, optimized geometry
# Space-group type ... P2/m (10)
# Total energy ... -57.94 eV per cell
data_Th4FeNiSe2
_chemical_formula_sum 'Th4 Fe1 Ni1 Se2'
_cell_length_a 6.844
_cell_length_b 4.135
_cell_length_c 7.564
_cell_angle_alpha 90.00
_cell_angle_beta 106.29
_cell_angle_gamma 90.00
_space_group_name_H-M_alt 'P 1'
_space_group_IT_number 1
loop_
_space_group_symop_operation_xyz
'x,y,z'
loop_
_atom_site_label
_atom_site_type_symbol
_atom_site_fract_x
_atom_site_fract_y
_atom_site_fract_z
Th1 Th 0.240 0.000 0.211
Th2 Th 0.246 0.500 0.791
Th3 Th 0.754 0.500 0.209
Th4 Th 0.760 0.000 0.789
Fe1 Fe 0.000 0.500 0.000
Ni1 Ni 0.500 0.000 0.000
Se1 Se 0.000 0.000 0.500
Se2 Se 0.500 0.500 0.500

# PBE-GGA KTe2RuI, optimized geometry
# Space-group type ... P4/mmm (123)
# Total energy ... -10.85 eV per cell
# Offset from the most stable computed form ... 1.624 eV/atom
data_KTe2RuI
_chemical_formula_sum 'K1 Te2 Ru1 I1'
_cell_length_a 6.028
_cell_length_b 6.028
_cell_length_c 6.146
_cell_angle_alpha 90.00
_cell_angle_beta 90.00
_cell_angle_gamma 90.00
_space_group_name_H-M_alt 'P 1'
_space_group_IT_number 1
loop_
_space_group_symop_operation_xyz
'x,y,z'
loop_
_atom_site_label
_atom_site_type_symbol
_atom_site_fract_x
_atom_site_fract_y
_atom_site_fract_z
K1 K 0.000 0.000 0.000
Te1 Te 0.000 0.500 0.000
Te2 Te 0.500 0.000 0.000
Ru1 Ru 0.500 0.500 0.500
I1 I 0.000 0.000 0.500

# PBE-GGA CdBi2Se, optimized geometry
# Space-group type ... Fm-3m (225)
# Total energy ... -11.69 eV per cell
# Offset from the most stable computed form ... 0.000 eV/atom
data_CdBi2Se
_chemical_formula_sum 'Cd1 Bi2 Se1'
_cell_length_a 5.342
_cell_length_b 5.342
_cell_length_c 5.342
_cell_angle_alpha 60.00
_cell_angle_beta 60.00
_cell_angle_gamma 60.00
_space_group_name_H-M_alt 'P 1'
_space_group_IT_number 1
loop_
_space_group_symop_operation_xyz
'x,y,z'
loop_
_atom_site_label
_atom_site_type_symbol
_atom_site_fract_x
_atom_site_fract_y
_atom_site_fract_z
Cd1 Cd 0.000 0.000 0.000
Bi1 Bi 0.250 0.250 0.250
Bi2 Bi 0.750 0.750 0.750
Se1 Se 0.500 0.500 0.500

# PBE-GGA K3PSe, optimized geometry
# Space-group type ... Pm-3m (221)
# Total energy ... -13.43 eV per cell
data_K3PSe
_chemical_formula_sum 'K3 P1 Se1'
_cell_length_a 6.203
_cell_length_b 6.203
_cell_length_c 6.203
_cell_angle_alpha 90.00
_cell_angle_beta 90.00
_cell_angle_gamma 90.00
_space_group_name_H-M_alt 'P 1'
_space_group_IT_number 1
loop_
_space_group_symop_operation_xyz
'x,y,z'
loop_
_atom_site_label
_atom_site_type_symbol
_atom_site_fract_x
_atom_site_fract_y
_atom_site_fract_z
K1 K 0.000 0.000 0.500
K2 K 0.000 0.500 0.000
K3 K 0.500 0.000 0.000
P1 P 0.500 0.500 0.500
Se1 Se 0.000 0.000 0.000

# PBE-GGA UTc4P4, optimized geometry
# Space-group type ... P4_2/nmc (137)
# Total energy ... -156.07 eV per cell
# Formation enthalpy at 0 K ... -0.40 eV per atom
data_UTc4P4
_chemical_formula_sum 'U2 Tc8 P8'
_cell_length_a 5.970
_cell_length_b 5.970
_cell_length_c 7.807
_cell_angle_alpha 90.00
_cell_angle_beta 90.00
_cell_angle_gamma 90.00
_space_group_name_H-M_alt 'P 1'
_space_group_IT_number 1
loop_
_space_group_symop_operation_xyz
'x,y,z'
loop_
_atom_site_label
_atom_site_type_symbol
_atom_site_fract_x
_atom_site_fract_y
_atom_site_fract_z
U1 U 0.250 0.750 0.250
U2 U 0.750 0.250 0.750
Tc1 Tc 0.012 0.250 0.127
Tc2 Tc 0.250 0.012 0.627
Tc3 Tc 0.250 0.488 0.627
Tc4 Tc 0.488 0.250 0.127
Tc5 Tc 0.512 0.750 0.873
Tc6 Tc 0.750 0.512 0.373
Tc7 Tc 0.750 0.988 0.373
Tc8 Tc 0.988 0.750 0.873
P1 P 0.046 0.250 0.428
P2 P 0.250 0.046 0.928
P3 P 0.250 0.454 0.928
P4 P 0.454 0.250 0.428
P5 P 0.546 0.750 0.572
P6 P 0.750 0.546 0.072
P7 P 0.750 0.954 0.072
P8 P 0.954 0.750 0.572

# PBE-GGA CsHoCdI6, optimized geometry
# Space-group type ... P312 (149)
# Total energy ... -26.03 eV per cell
data_CsHoCdI6
_chemical_formula_sum 'Cs1 Ho1 Cd1 I6'
_cell_length_a 7.840
_cell_length_b 7.840
_cell_length_c 8.752
_cell_angle_alpha 90.00
_cell_angle_beta 90.00
_cell_angle_gamma 120.00
_space_group_name_H-M_alt 'P 1'
_space_group_IT_number 1
loop_
_space_group_symop_operation_xyz
'x,y,z'
loop_
_atom_site_label
_atom_site_type_symbol
_atom_site_fract_x
_atom_site_fract_y
_atom_site_fract_z
Cs1 Cs 0.000 0.000 0.000
Ho1 Ho 0.667 0.333 0.500
Cd1 Cd 0.333 0.667 0.500
I1 I 0.000 0.372 0.299
I2 I 0.000 0.628 0.701
I3 I 0.372 0.000 0.299
I4 I 0.372 0.372 0.701
I5 I 0.628 0.000 0.701
I6 I 0.628 0.628 0.299

# PBE-GGA La2TlCl, optimized geometry
# Space-group type ... Pmmm (47)
# Total energy ... -16.58 eV per cell
# Offset from the most stable computed form ... 0.319 eV/atom
data_La2TlCl
_chemical_formula_sum 'La2 Tl1 Cl1'
_cell_length_a 4.051
_cell_length_b 4.839
_cell_length_c 6.457
_cell_angle_alpha 90.00
_cell_angle_beta 90.00
_cell_angle_gamma 90.00
_space_group_name_H-M_alt 'P 1'
_space_group_IT_number 1
loop_
_space_group_symop_operation_xyz
'x,y,z'
loop_
_atom_site_label
_atom_site_type_symbol
_atom_site_fract_x
_atom_site_fract_y
_atom_site_fract_z
La1 La 0.000 0.000 0.000
La2 La 0.500 0.000 0.500
Tl1 Tl 0.000 0.500 0.500
Cl1 Cl 0.500 0.500 0.000

# PBE-GGA Cd2TeW, optimized geometry
# Space-group type ... Pmmm (47)
# Total energy ... -14.86 eV per cell
data_Cd2TeW
_chemical_formula_sum 'Cd2 Te1 W1'
_cell_length_a 3.187
_cell_length_b 4.692
_cell_length_c 5.723
_cell_angle_alpha 90.00
_cell_angle_beta 90.00
_cell_angle_gamma 90.00
_space_group_name_H-M_alt 'P 1'
_space_group_IT_number 1
loop_
_space_group_symop_operation_xyz
'x,y,z'
loop_
_atom_site_label
_atom_site_type_symbol
_atom_site_fract_x
_atom_site_fract_y
_atom_site_fract_z
Cd1 Cd 0.000 0.000 0.000
Cd2 Cd 0.500 0.500 0.000
Te1 Te 0.000 0.500 0.500
W1 W 0.500 0.000 0.500

# PBE-GGA LaRh, optimized geometry
# Space-group type ... Cm (8)
# Total energy ... -39.85 eV per cell
# Formation enthalpy at 0 K ... -0.50 eV per atom
data_LaRh
_chemical_formula_sum 'La3 Rh3'
_cell_length_a 6.982
_cell_length_b 6.982
_cell_length_c 6.282
_cell_angle_alpha 116.44
_cell_angle_beta 116.44
_cell_angle_gamma 33.65
_space_group_name_H-M_alt 'P 1'
_space_group_IT_number 1
loop_
_space_group_symop_operation_xyz
'x,y,z'
loop_
_atom_site_label
_atom_site_type_symbol
_atom_site_fract_x
_atom_site_fract_y
_atom_site_fract_z
La1 La 0.000 0.000 0.000
La2 La 0.119 0.119 0.618
La3 La 0.788 0.788 0.290
Rh1 Rh 0.396 0.396 0.643
Rh2 Rh 0.397 0.397 0.154
Rh3 Rh 0.772 0.772 0.776

# PBE-GGA Tc2AgOs, optimized geometry
# Space-group type ... P4/mmm (123)
# Total energy ... -32.48 eV per cell
# Formation enthalpy at 0 K ... 0.58 eV per atom
# Offset from the most stable computed form ... 0.320 eV/atom
data_Tc2AgOs
_chemical_formula_sum 'Tc2 Ag1 Os1'
_cell_length_a 3.906
_cell_length_b 3.906
_cell_length_c 3.931
_cell_angle_alpha 90.00
_cell_angle_beta 90.00
_cell_angle_gamma 90.00
_space_group_name_H-M_alt 'P 1'
_space_group_IT_number 1
loop_
_space_group_symop_operation_xyz
'x,y,z'
loop_
_atom_site_label
_atom_site_type_symbol
_atom_site_fract_x
_atom_site_fract_y
_atom_site_fract_z
Tc1 Tc 0.000 0.500 0.000
Tc2 Tc 0.500 0.000 0.000
Ag1 Ag 0.000 0.000 0.500
Os1 Os 0.500 0.500 0.500

# PBE-GGA Ba5In, optimized geometry
# Space-group type ... Cmmm (65)
# Total energy ... -12.75 eV per cell
# Formation enthalpy at 0 K ... -0.07 eV per atom
# Offset from the most stable computed form ... 0.069 eV/atom
data_Ba5In
_chemical_formula_sum 'Ba5 In1'
_cell_length_a 9.430
_cell_length_b 9.430
_cell_length_c 5.982
_cell_angle_alpha 90.00
_cell_angle_beta 90.00
_cell_angle_gamma 144.08
_space_group_name_H-M_alt 'P 1'
_space_group_IT_number 1
loop_
_space_group_symop_operation_xyz
'x,y,z'
loop_
_atom_site_label
_atom_site_type_symbol
_atom_site_fract_x
_atom_site_fract_y
_atom_site_fract_z
Ba1 Ba 0.000 0.000 0.000
Ba2 Ba 0.147 0.853 0.500
Ba3 Ba 0.344 0.656 0.000
Ba4 Ba 0.656 0.344 0.000
Ba5 Ba 0.853 0.147 0.500
In1 In 0.500 0.500 0.500

# PBE-GGA Hf3CrNi, optimized geometry
# Space-group type ... Pm-3m (221)
# Total energy ... -41.44 eV per cell
# Formation enthalpy at 0 K ... 0.77 eV per atom
# Offset from the most stable computed form ... 0.000 eV/atom
data_Hf3CrNi
_chemical_formula_sum 'Hf3 Cr1 Ni1'
_cell_length_a 4.724
_cell_length_b 4.724
_cell_length_c 4.724
_cell_angle_alpha 90.00
_cell_angle_beta 90.00
_cell_angle_gamma 90.00
_space_group_name_H-M_alt 'P 1'
_space_group_IT_number 1
loop_
_space_group_symop_operation_xyz
'x,y,z'
loop_
_atom_site_label
_atom_site_type_symbol
_atom_site_fract_x
_atom_site_fract_y
_atom_site_fract_z
Hf1 Hf 0.000 0.000 0.500
Hf2 Hf 0.000 0.500 0.000
Hf3 Hf 0.500 0.000 0.000
Cr1 Cr 0.500 0.500 0.500
Ni1 Ni 0.000 0.000 0.000

# PBE-GGA La2ZrCo, optimized geometry
# Space-group type ... F-43m (216)
# Total energy ... -24.06 eV per cell
# Formation enthalpy at 0 K ... 0.36 eV per atom
# Offset from the most stable computed form ... 0.356 eV/atom
data_La2ZrCo
_chemical_formula_sum 'La2 Zr1 Co1'
_cell_length_a 5.093
_cell_length_b 5.093
_cell_length_c 5.093
_cell_angle_alpha 60.00
_cell_angle_beta 60.00
_cell_angle_gamma 60.00
_space_group_name_H-M_alt 'P 1'
_space_group_IT_number 1
loop_
_space_group_symop_operation_xyz
'x,y,z'
loop_
_atom_site_label
_atom_site_type_symbol
_atom_site_fract_x
_atom_site_fract_y
_atom_site_fract_z
La1 La 0.000 0.000 0.000
La2 La 0.250 0.250 0.250
Zr1 Zr 0.750 0.750 0.750
Co1 Co 0.500 0.500 0.500